# 1
A plane-wave DFT calculation with PBE was carried out for a relaxed TlCdPAu2 crystal.

a = 5.323 Å, b = 5.323 Å, c = 5.568 Å
α = 90.00°, β = 90.00°, γ = 90.00°
Positions (direct):
Tl: 0.000 0.000 0.000
Cd: 0.000 0.000 0.500
P: 0.500 0.500 0.500
Au: 0.000 0.500 0.000
Au: 0.500 0.000 0.000

Properties
* symmetry: P4/mmm, No. 123
* E_form: 512.6 kJ/mol of formula units
* N(E_F): 2.149 states/eV/f.u.

---

# 2
A plane-wave DFT calculation with PBE was carried out for a relaxed CaMg3Cd crystal.

a = 7.155 Å, b = 7.155 Å, c = 6.090 Å
α = 90.00°, β = 90.00°, γ = 120.00°
Positions (direct):
Ca: 0.333 0.667 0.250
Ca: 0.667 0.333 0.750
Mg: 0.193 0.387 0.750
Mg: 0.193 0.807 0.750
Mg: 0.387 0.193 0.250
Mg: 0.613 0.807 0.750
Mg: 0.807 0.193 0.250
Mg: 0.807 0.613 0.250
Cd: 0.000 0.000 0.000
Cd: 0.000 0.000 0.500

Properties
* symmetry: P6_3/mmc, No. 194
* E_form: -4.0 kJ/mol of formula units
* N(E_F): 2.367 states/eV/f.u.

---

# 3
A plane-wave DFT calculation with PBE was carried out for a relaxed Pu2GaNi2 crystal.

a = 5.304 Å, b = 5.304 Å, c = 7.666 Å
α = 101.85°, β = 101.85°, γ = 61.01°
Positions (direct):
Pu: 0.004 0.290 0.149
Pu: 0.290 0.004 0.649
Pu: 0.710 0.996 0.351
Pu: 0.996 0.710 0.851
Ga: 0.353 0.647 0.250
Ga: 0.647 0.353 0.750
Ni: 0.232 0.499 0.498
Ni: 0.499 0.232 0.998
Ni: 0.501 0.768 0.002
Ni: 0.768 0.501 0.502

Properties
* symmetry: C2/c, No. 15
* E_form: -146.4 kJ/mol of formula units
* N(E_F): 17.877 states/eV/f.u.

---

# 4
A plane-wave DFT calculation with PBE was carried out for a relaxed LaCeNi crystal.

a = 4.723 Å, b = 4.723 Å, c = 9.448 Å
α = 99.30°, β = 99.30°, γ = 43.47°
Positions (direct):
La: 0.158 0.158 0.148
La: 0.842 0.842 0.852
Ce: 0.094 0.094 0.674
Ce: 0.906 0.906 0.326
Ni: 0.358 0.358 0.549
Ni: 0.642 0.642 0.451

Properties
* symmetry: C2/m, No. 12
* E_form: -18.7 kJ/mol of formula units
* N(E_F): 3.871 states/eV/f.u.

---

# 5
A plane-wave DFT calculation with PBE was carried out for a relaxed Ac3TeP2Rh9 crystal.

a = 6.199 Å, b = 6.199 Å, c = 9.225 Å
α = 90.00°, β = 90.00°, γ = 120.00°
Positions (direct):
Ac: 0.000 0.000 0.000
Ac: 0.333 0.667 0.670
Ac: 0.667 0.333 0.330
Te: 0.000 0.000 0.500
P: 0.333 0.667 0.156
P: 0.667 0.333 0.844
Rh: 0.000 0.500 0.000
Rh: 0.156 0.313 0.281
Rh: 0.156 0.844 0.281
Rh: 0.313 0.156 0.719
Rh: 0.500 0.000 0.000
Rh: 0.500 0.500 0.000
Rh: 0.687 0.844 0.281
Rh: 0.844 0.156 0.719
Rh: 0.844 0.687 0.719

Properties
* formation energy (no corrections): -0.672 eV/atom
* symmetry: P-3m1, No. 164
* N(E_F): 7.919 states/eV/f.u.

---

# 6
A plane-wave DFT calculation with PBE was carried out for a relaxed LaZnSe crystal.

a = 4.963 Å, b = 4.963 Å, c = 4.963 Å
α = 60.00°, β = 60.00°, γ = 60.00°
Positions (direct):
La: 0.000 0.000 0.000
Zn: 0.500 0.500 0.500
Se: 0.250 0.250 0.250

Properties
* formation energy (no corrections): -0.749 eV/atom
* symmetry: F-43m, No. 216
* N(E_F): 2.845 states/eV/f.u.

---

# 7
A plane-wave DFT calculation with PBE was carried out for a relaxed La2DyY5 crystal.

a = 6.654 Å, b = 6.654 Å, c = 15.908 Å
α = 90.00°, β = 90.00°, γ = 129.40°
Positions (direct):
La: 0.216 0.784 0.629
La: 0.216 0.784 0.871
La: 0.784 0.216 0.129
La: 0.784 0.216 0.371
Dy: 0.264 0.736 0.250
Dy: 0.736 0.264 0.750
Y: 0.080 0.920 0.092
Y: 0.080 0.920 0.408
Y: 0.383 0.617 0.049
Y: 0.383 0.617 0.451
Y: 0.461 0.539 0.750
Y: 0.539 0.461 0.250
Y: 0.617 0.383 0.549
Y: 0.617 0.383 0.951
Y: 0.920 0.080 0.592
Y: 0.920 0.080 0.908

Properties
* symmetry: Cmcm, No. 63
* E_form: 103.9 kJ/mol of formula units
* N(E_F): 14.224 states/eV/f.u.

---

# 8
A plane-wave DFT calculation with PBE was carried out for a relaxed FeReTe2 crystal.

a = 7.726 Å, b = 7.726 Å, c = 7.726 Å
α = 154.55°, β = 151.96°, γ = 38.22°
Positions (direct):
Fe: 0.000 0.000 0.000
Re: 0.395 0.895 0.500
Te: 0.558 0.558 0.000
Te: 0.805 0.305 0.500

Properties
* formation energy (no corrections): 0.449 eV/atom
* symmetry: Imm2, No. 44
* N(E_F): 2.918 states/eV/f.u.